No. 1
Here is an optimized crystal structure of RbNi6Se8 from Alexandria. Energies are from PBE.

- Density: 5682 kg/m3
- Formation energy without anion corrections: -0.35 eV per atom
- Total DFT energy (no corrections): -68.77 eV/f.u.

a b c (Å): 6.787 6.787 6.787
angles (deg): 89.31 89.31 89.31
Fractional coordinates of all 15 atoms:
Rb (0.000, 0.000, 0.000)
Ni (0.592, 0.428, 0.804)
Ni (0.428, 0.804, 0.592)
Ni (0.804, 0.592, 0.428)
Ni (0.408, 0.572, 0.196)
Ni (0.572, 0.196, 0.408)
Ni (0.196, 0.408, 0.572)
Se (0.731, 0.731, 0.731)
Se (0.269, 0.269, 0.269)
Se (0.604, 0.847, 0.286)
Se (0.847, 0.286, 0.604)
Se (0.286, 0.604, 0.847)
Se (0.396, 0.153, 0.714)
Se (0.153, 0.714, 0.396)
Se (0.714, 0.396, 0.153)


No. 2
Here is an optimized crystal structure of NaTl2Co2 from Alexandria. Energies are from PBE.

- E above lowest polymorph: 0.00 eV/f.u.
- Density: 8597 kg/m3
- Formation enthalpy at 0 K: 0.262 eV per atom
- Total DFT energy (no corrections): -18.95 eV/f.u.

a b c (Å): 3.360 3.360 9.697
angles (deg): 80.02 80.02 90.00
Last column: magnetic moment on the atom in μB.
Fractional coordinates of all 5 atoms:
Na (0.000, 0.000, 0.000)  0.01
Tl (0.371, 0.371, 0.258)  -0.04
Tl (0.629, 0.629, 0.742)  -0.04
Co (0.750, 0.250, 0.500)  1.66
Co (0.250, 0.750, 0.500)  1.66